(1)
Material: Pr3Tm2ThTe6
Method: DFT, PBE-GGA
State: optimized geometry

POSCAR file:
```
Pr3Tm2ThTe6
1.0
-4.1788 -1.2297 0.0861
2.4912 -8.5769 -1.5868
2.2301 0.8107 9.5837
Tm Pr Te Th
2 3 6 1
Direct
0.8329 0.6636 0.6658
0.1671 0.3364 0.3342
0.5000 0.5000 0.0000
0.8452 0.1608 0.6903
0.1548 0.8392 0.3097
0.6711 0.5791 0.3423
0.3282 0.8953 0.6563
0.6718 0.1047 0.3437
0.3289 0.4209 0.6577
0.0107 0.2553 0.0213
0.9893 0.7447 0.9787
0.5000 0.0000 0.0000
```

Properties
Space-group type ... C2/m, No. 12


(2)
Material: Pr2TmThTe5
Method: DFT, PBE-GGA
State: optimized geometry

POSCAR file:
```
Pr2TmThTe5
1.0
5.4515 0.0000 0.0000
0.0000 5.4515 0.0000
0.0000 0.0000 11.7822
Th Te Pr Tm
1 5 2 1
Direct
0.0000 0.0000 0.0000
0.0000 0.0000 0.7507
0.5000 0.0000 0.5000
0.0000 0.5000 0.5000
0.0000 0.0000 0.2493
0.5000 0.5000 0.0000
0.5000 0.5000 0.6620
0.5000 0.5000 0.3380
0.0000 0.0000 0.5000
```

Properties
Space-group type ... P4/mmm, No. 123


(3)
Material: Pr2Y3ThTe6
Method: DFT, PBE-GGA
State: optimized geometry

POSCAR file:
```
Pr2Y3ThTe6
1.0
-1.6326 -3.9280 -1.0122
5.2627 -0.3026 -7.3142
6.0673 -2.0700 7.6910
Th Pr Te Y
1 2 6 3
Direct
0.5000 0.0000 0.0000
0.1630 0.3252 0.3260
0.8370 0.6748 0.6740
0.6690 0.0721 0.3381
0.3348 0.4112 0.6695
0.9948 0.2560 0.9895
0.6652 0.5888 0.3305
0.3310 0.9279 0.6619
0.0052 0.7440 0.0105
0.8321 0.1670 0.6643
0.1679 0.8330 0.3357
0.5000 0.5000 0.0000
```

Properties
Space-group type ... C2/m, No. 12


What formation energy from raw total energies values result from the calculations? In sequence: -1480, -635, -1503 kJ/mol of formula units.
What DFT total energy values result from the calculations? In sequence: -5.41, -4.86, -5.90 eV per atom.